The following is a DFT calculation (PBE) of a relaxed Th2ZnIr crystal.

Cell and atoms, written as CIF:
```
data_Th2ZnIr
_chemical_formula_sum 'Th4 Zn2 Ir2'
_space_group_name_H-M_alt 'P 1'
_space_group_IT_number 1
_cell_length_a 4.210
_cell_length_b 6.005
_cell_length_c 8.429
_cell_angle_alpha 111.18
_cell_angle_beta 90.00
_cell_angle_gamma 90.00
loop_
_space_group_symop_operation_xyz
'x,y,z'
loop_
_atom_site_label
_atom_site_type_symbol
_atom_site_fract_x
_atom_site_fract_y
_atom_site_fract_z
Th1 Th 0.250 0.778 0.555
Ir1 Ir 0.250 0.308 0.703
Ir2 Ir 0.750 0.692 0.297
Th2 Th 0.750 0.222 0.445
Zn1 Zn 0.250 0.347 0.208
Th3 Th 0.750 0.222 0.913
Zn2 Zn 0.750 0.653 0.792
Th4 Th 0.250 0.778 0.087
```

Calculated volume ... 198.7 Å³ per cell
Final energy ... -6.826 eV per atom
DFT formation energy ... -0.582 eV/atom